(1)
A relaxed LiAg14Hg crystal. Source: Alexandria via LeMat-Bulk, functional PBE.

Output
The formation energy comes out at -15 meV per atom. For the total DFT energy (no corrections), the calculation gives -42.368 eV/cell. Its space group is Amm2, No. 38.

Lattice parameters (Å, degrees): 9.522 5.911 5.911 59.79 90.00 90.00
Atoms (fractional coordinates):
1 Li 0.000 0.000 0.000
2 Ag 0.000 0.000 0.500
3 Ag 0.000 0.500 0.000
4 Ag 0.249 0.164 0.164
5 Ag 0.250 0.162 0.669
6 Ag 0.250 0.669 0.162
7 Ag 0.251 0.667 0.667
8 Ag 0.500 0.331 0.331
9 Ag 0.500 0.332 0.831
10 Ag 0.500 0.831 0.332
11 Ag 0.500 0.832 0.832
12 Ag 0.749 0.667 0.667
13 Ag 0.750 0.162 0.669
14 Ag 0.750 0.669 0.162
15 Ag 0.751 0.164 0.164
16 Hg 0.000 0.499 0.499

(2)
A relaxed Li3AgHg crystal. Source: Alexandria via LeMat-Bulk, functional PBE.

Output
The formation energy comes out at -205 meV per atom. As for the energy above the most stable polymorph in this dataset: 57 meV/atom. For the total DFT energy (no corrections), the calculation gives -19.841 eV/cell. Its space group is P2_1/m, No. 11.

Lattice parameters (Å, degrees): 4.651 5.700 7.056 90.00 108.97 90.00
Atoms (fractional coordinates):
1 Li 0.025 0.250 0.496
2 Li 0.198 0.002 0.893
3 Li 0.198 0.498 0.893
4 Li 0.802 0.502 0.107
5 Li 0.802 0.998 0.107
6 Li 0.975 0.750 0.504
7 Ag 0.408 0.250 0.271
8 Ag 0.592 0.750 0.729
9 Hg 0.361 0.750 0.265
10 Hg 0.639 0.250 0.735

(3)
A relaxed LiAg2Hg crystal. Source: Alexandria via LeMat-Bulk, functional PBE.

Output
The formation energy comes out at -145 meV per atom. For the total DFT energy (no corrections), the calculation gives -8.500 eV/cell. Its space group is Pm, No. 6.

Lattice parameters (Å, degrees): 3.089 3.924 6.035 90.00 91.35 90.00
Atoms (fractional coordinates):
1 Li 0.000 0.000 0.000
2 Ag 0.503 0.500 0.763
3 Ag 0.999 0.000 0.519
4 Hg 0.499 0.500 0.244

(4)
A relaxed LiAgHg2 crystal. Source: Alexandria via LeMat-Bulk, functional PBE.

Output
The formation energy comes out at -142 meV per atom. For the total DFT energy (no corrections), the calculation gives -5.938 eV/cell. Its space group is P4mm, No. 99.

Lattice parameters (Å, degrees): 3.446 3.446 6.661 90.00 90.00 90.00
Atoms (fractional coordinates):
1 Li 0.000 0.000 0.000
2 Ag 0.500 0.500 0.215
3 Hg 0.000 0.000 0.469
4 Hg 0.500 0.500 0.775

(5)
A relaxed Li12AgHg6 crystal. Source: Alexandria via LeMat-Bulk, functional PBE.

Output
The formation energy comes out at -261 meV per atom. For the total DFT energy (no corrections), the calculation gives -32.595 eV/cell. Its space group is R-3, No. 148.

Lattice parameters (Å, degrees): 7.110 7.110 7.110 91.14 91.14 91.14
Atoms (fractional coordinates):
1 Li 0.030 0.302 0.934
2 Li 0.066 0.970 0.698
3 Li 0.131 0.350 0.475
4 Li 0.302 0.934 0.030
5 Li 0.350 0.475 0.131
6 Li 0.475 0.131 0.350
7 Li 0.525 0.869 0.650
8 Li 0.650 0.525 0.869
9 Li 0.698 0.066 0.970
10 Li 0.869 0.650 0.525
11 Li 0.934 0.030 0.302
12 Li 0.970 0.698 0.066
13 Ag 0.500 0.500 0.500
14 Hg 0.214 0.782 0.378
15 Hg 0.218 0.622 0.786
16 Hg 0.378 0.214 0.782
17 Hg 0.622 0.786 0.218
18 Hg 0.782 0.378 0.214
19 Hg 0.786 0.218 0.622

(6)
A relaxed Li2Ag3Hg3 crystal. Source: Alexandria via LeMat-Bulk, functional PBE.

Output
The formation energy comes out at -110 meV per atom. As for the energy above the most stable polymorph in this dataset: 43 meV/atom. For the total DFT energy (no corrections), the calculation gives -28.335 eV/cell. Its space group is Cmcm, No. 63.

Lattice parameters (Å, degrees): 5.467 5.467 14.004 90.00 90.00 131.02
Atoms (fractional coordinates):
1 Li 0.239 0.761 0.624
2 Li 0.239 0.761 0.876
3 Li 0.761 0.239 0.124
4 Li 0.761 0.239 0.376
5 Ag 0.085 0.915 0.081
6 Ag 0.085 0.915 0.419
7 Ag 0.240 0.760 0.250
8 Ag 0.760 0.240 0.750
9 Ag 0.915 0.085 0.581
10 Ag 0.915 0.085 0.919
11 Hg 0.381 0.619 0.063
12 Hg 0.381 0.619 0.437
13 Hg 0.461 0.539 0.750
14 Hg 0.539 0.461 0.250
15 Hg 0.619 0.381 0.563
16 Hg 0.619 0.381 0.937

(7)
A relaxed Li3Ag4Hg crystal. Source: Alexandria via LeMat-Bulk, functional PBE.

Output
The formation energy comes out at -10 meV per atom. As for the energy above the most stable polymorph in this dataset: 196 meV/atom. For the total DFT energy (no corrections), the calculation gives -17.525 eV/cell. Its space group is Imm2, No. 44.

Lattice parameters (Å, degrees): 6.147 6.147 6.147 129.15 103.48 97.79
Atoms (fractional coordinates):
1 Li 0.000 0.000 0.000
2 Li 0.321 0.616 0.706
3 Li 0.910 0.616 0.294
4 Ag 0.114 0.295 0.820
5 Ag 0.475 0.295 0.180
6 Ag 0.718 0.467 0.749
7 Ag 0.718 0.969 0.251
8 Hg 0.396 0.896 0.500

(8)
A relaxed LiAg2Hg crystal. Source: Alexandria via LeMat-Bulk, functional PBE.

Output
The formation energy comes out at -101 meV per atom. For the total DFT energy (no corrections), the calculation gives -8.321 eV/cell. Its space group is Pmmm, No. 47.

Lattice parameters (Å, degrees): 2.986 4.114 5.982 90.00 90.00 90.00
Atoms (fractional coordinates):
1 Li 0.000 0.000 0.000
2 Ag 0.500 0.500 0.235
3 Ag 0.500 0.500 0.765
4 Hg 0.000 0.000 0.500

Q: Among the records above, which one has the lowest formation energy?
A: Li12AgHg6

Q: What is the formation energy in the seventh record?
A: -10 meV per atom